Record 1
A plane-wave DFT calculation with PBE was carried out for LuIn2Rh after structural relaxation.

Summary:
- Energy of formation: -382 meV/atom
- Theoretical density: 10.1 g/cm³
- Symmetry: P4/mmm

Lattice parameters (Å, degrees): 3.3539 3.3539 7.4159 90.00 90.00 90.00
Sites, in units of the cell vectors:
Lu 0.0000 0.0000 0.0000
In 0.5000 0.5000 0.2927
In 0.5000 0.5000 0.7073
Rh 0.0000 0.0000 0.5000

=====

Record 2
A plane-wave DFT calculation with PBE was carried out for LaNd3H8 after structural relaxation.

Summary:
- Theoretical density: 5.7 g/cm³
- Symmetry: I4/mmm

Lattice parameters (Å, degrees): 6.7580 6.7580 6.7580 131.86 131.86 70.45
Sites, in units of the cell vectors:
La 0.0000 0.0000 0.0000
Nd 0.2500 0.7500 0.5000
Nd 0.5000 0.5000 0.0000
Nd 0.7500 0.2500 0.5000
H 0.1266 0.1266 0.5074
H 0.1266 0.6192 0.0000
H 0.3808 0.3808 0.5074
H 0.3808 0.8734 0.0000
H 0.6192 0.1266 0.0000
H 0.6192 0.6192 0.4926
H 0.8734 0.3808 0.0000
H 0.8734 0.8734 0.4926

=====

Record 3
A plane-wave DFT calculation with PBE was carried out for Ta2InPtSe after structural relaxation.

Summary:
- Energy relative to the elements, uncorrected: 1.150 eV per atom
- Theoretical density: 8.8 g/cm³
- Symmetry: P4/mmm

Lattice parameters (Å, degrees): 5.0743 5.0743 5.4764 90.00 90.00 90.00
Sites, in units of the cell vectors:
Ta 0.0000 0.5000 0.0000
Ta 0.5000 0.0000 0.0000
In 0.0000 0.0000 0.5000
Pt 0.5000 0.5000 0.0000
Se 0.5000 0.5000 0.5000

=====

Record 4
A plane-wave DFT calculation with PBE was carried out for DyTlIn6 after structural relaxation.

Summary:
- Energy of formation: -141 meV/atom
- Theoretical density: 8.2 g/cm³
- Symmetry: P4/mmm

Lattice parameters (Å, degrees): 6.7418 6.7418 4.6787 90.00 90.00 90.00
Sites, in units of the cell vectors:
Dy 0.0000 0.0000 0.0000
Tl 0.5000 0.5000 0.0000
In 0.0000 0.5000 0.0000
In 0.2469 0.2469 0.5000
In 0.2469 0.7531 0.5000
In 0.5000 0.0000 0.0000
In 0.7531 0.2469 0.5000
In 0.7531 0.7531 0.5000

=====

| no. | electronic total energy (eV per cell) |
| --- | --- |
| 1 | -18.88 |
| 2 | -53.77 |
| 3 | -30.22 |
| 4 | -24.53 |